(1)
Entry from the Alexandria database: a geometry-optimized ReSiSb2I structure (PBE).

Unit cell a=5.0662 b=5.0662 c=5.8274 alpha=90.00 beta=90.00 gamma=90.00
Sites, in units of the cell vectors:
1 Re 0.0000 0.0000 0.0000
2 Si 0.5000 0.5000 0.5000
3 Sb 0.0000 0.5000 0.0000
4 Sb 0.5000 0.0000 0.0000
5 I 0.0000 0.0000 0.5000

density	6.49	g/cm3
formation energy from raw total energies	1.051	eV per atom
E above lowest polymorph	0.0	meV/atom
N(E_F)	0.85	states/eV per atom



(2)
Entry from the Alexandria database: a geometry-optimized ReSiSb2I structure (PBE).

Unit cell a=5.2205 b=5.2205 c=5.2432 alpha=90.00 beta=90.00 gamma=90.00
Sites, in units of the cell vectors:
1 Re 0.0000 0.0000 0.0000
2 Si 0.5000 0.5000 0.5000
3 Sb 0.0000 0.5000 0.5000
4 Sb 0.5000 0.0000 0.5000
5 I 0.5000 0.5000 0.0000

density	6.79	g/cm3
formation energy from raw total energies	1.563	eV per atom
E above lowest polymorph	511.7	meV/atom
N(E_F)	0.52	states/eV per atom



(3)
Entry from the Alexandria database: a geometry-optimized SrReSbI2 structure (PBE).

Unit cell a=5.6800 b=5.6800 c=5.1278 alpha=90.00 beta=90.00 gamma=90.00
Sites, in units of the cell vectors:
1 Sr 0.0000 0.0000 0.0000
2 Re 0.5000 0.5000 0.5000
3 Sb 0.5000 0.5000 0.0000
4 I 0.0000 0.5000 0.5000
5 I 0.5000 0.0000 0.5000

density	6.52	g/cm3
formation energy from raw total energies	0.131	eV per atom
E above lowest polymorph	0.0	meV/atom
N(E_F)	0.95	states/eV per atom



(4)
Entry from the Alexandria database: a geometry-optimized SrReSbI2 structure (PBE).

Unit cell a=6.1980 b=6.1980 c=6.6602 alpha=90.00 beta=90.00 gamma=90.00
Sites, in units of the cell vectors:
1 Sr 0.0000 0.0000 0.0000
2 Re 0.5000 0.5000 0.5000
3 Sb 0.0000 0.0000 0.5000
4 I 0.0000 0.5000 0.0000
5 I 0.5000 0.0000 0.0000

density	4.21	g/cm3
formation energy from raw total energies	1.008	eV per atom
E above lowest polymorph	876.8	meV/atom
N(E_F)	0.50	states/eV per atom



(5)
Entry from the Alexandria database: a geometry-optimized ReTcSbI2 structure (PBE).

Unit cell a=5.5253 b=5.5253 c=5.1374 alpha=90.00 beta=90.00 gamma=90.00
Sites, in units of the cell vectors:
1 Re 0.0000 0.0000 0.0000
2 Tc 0.5000 0.5000 0.5000
3 Sb 0.0000 0.0000 0.5000
4 I 0.0000 0.5000 0.0000
5 I 0.5000 0.0000 0.0000

density	6.99	g/cm3
formation energy from raw total energies	1.557	eV per atom
E above lowest polymorph	0.0	meV/atom
N(E_F)	1.16	states/eV per atom



(6)
Entry from the Alexandria database: a geometry-optimized ReSbTeI2 structure (PBE).

Unit cell a=5.9437 b=5.9437 c=6.0012 alpha=90.00 beta=90.00 gamma=90.00
Sites, in units of the cell vectors:
1 Re 0.0000 0.0000 0.0000
2 Sb 0.5000 0.5000 0.0000
3 Te 0.5000 0.5000 0.5000
4 I 0.0000 0.5000 0.5000
5 I 0.5000 0.0000 0.5000

density	5.40	g/cm3
formation energy from raw total energies	1.617	eV per atom
E above lowest polymorph	862.6	meV/atom
N(E_F)	0.85	states/eV per atom



(7)
Entry from the Alexandria database: a geometry-optimized ReSbTeI2 structure (PBE).

Unit cell a=5.3300 b=5.3300 c=5.3391 alpha=90.00 beta=90.00 gamma=90.00
Sites, in units of the cell vectors:
1 Re 0.0000 0.0000 0.0000
2 Sb 0.0000 0.0000 0.5000
3 Te 0.5000 0.5000 0.5000
4 I 0.0000 0.5000 0.0000
5 I 0.5000 0.0000 0.0000

density	7.55	g/cm3
formation energy from raw total energies	0.755	eV per atom
E above lowest polymorph	0.0	meV/atom
N(E_F)	1.16	states/eV per atom



(8)
Entry from the Alexandria database: a geometry-optimized ReSbTeI2 structure (PBE).

Unit cell a=5.4300 b=5.4300 c=5.1776 alpha=90.00 beta=90.00 gamma=90.00
Sites, in units of the cell vectors:
1 Re 0.0000 0.0000 0.0000
2 Sb 0.5000 0.5000 0.5000
3 Te 0.0000 0.0000 0.5000
4 I 0.0000 0.5000 0.0000
5 I 0.5000 0.0000 0.0000

density	7.50	g/cm3
formation energy from raw total energies	0.800	eV per atom
E above lowest polymorph	45.5	meV/atom
N(E_F)	1.17	states/eV per atom



(9)
Entry from the Alexandria database: a geometry-optimized ReSbTeI2 structure (PBE).

Unit cell a=6.0208 b=6.0208 c=5.7703 alpha=90.00 beta=90.00 gamma=90.00
Sites, in units of the cell vectors:
1 Re 0.0000 0.0000 0.0000
2 Sb 0.5000 0.5000 0.5000
3 Te 0.5000 0.5000 0.0000
4 I 0.0000 0.5000 0.5000
5 I 0.5000 0.0000 0.5000

density	5.47	g/cm3
formation energy from raw total energies	1.355	eV per atom
E above lowest polymorph	600.1	meV/atom
N(E_F)	0.36	states/eV per atom



(10)
Entry from the Alexandria database: a geometry-optimized TiReSb2I structure (PBE).

Unit cell a=5.0877 b=5.0877 c=5.7515 alpha=90.00 beta=90.00 gamma=90.00
Sites, in units of the cell vectors:
1 Ti 0.0000 0.0000 0.0000
2 Re 0.5000 0.5000 0.5000
3 Sb 0.0000 0.5000 0.5000
4 Sb 0.5000 0.0000 0.5000
5 I 0.5000 0.5000 0.0000

density	6.74	g/cm3
formation energy from raw total energies	1.090	eV per atom
E above lowest polymorph	0.0	meV/atom
N(E_F)	1.56	states/eV per atom



(11)
Entry from the Alexandria database: a geometry-optimized TlReSb2I structure (PBE).

Unit cell a=5.1297 b=5.1297 c=6.1690 alpha=90.00 beta=90.00 gamma=90.00
Sites, in units of the cell vectors:
1 Tl 0.0000 0.0000 0.0000
2 Re 0.5000 0.5000 0.5000
3 Sb 0.0000 0.5000 0.5000
4 Sb 0.5000 0.0000 0.5000
5 I 0.5000 0.5000 0.0000

density	7.78	g/cm3
formation energy from raw total energies	0.438	eV per atom
E above lowest polymorph	0.0	meV/atom
N(E_F)	0.59	states/eV per atom



(12)
Entry from the Alexandria database: a geometry-optimized TlReSb2I structure (PBE).

Unit cell a=5.7114 b=5.7114 c=5.9661 alpha=90.00 beta=90.00 gamma=90.00
Sites, in units of the cell vectors:
1 Tl 0.0000 0.0000 0.0000
2 Re 0.5000 0.5000 0.5000
3 Sb 0.0000 0.5000 0.0000
4 Sb 0.5000 0.0000 0.0000
5 I 0.0000 0.0000 0.5000

density	6.49	g/cm3
formation energy from raw total energies	1.826	eV per atom
E above lowest polymorph	1388.6	meV/atom
N(E_F)	0.73	states/eV per atom